The following is a PBE calculation of LaSeCl2 after structural relaxation, from Alexandria via LeMat-Bulk.

Computed properties:
formation energy without anion corrections	-1.530	eV per atom
energy relative to the lowest polymorph listed for this composition	150.5	meV per atom
total energy	-0.167	hartree per atom

Cell: 4.2638 4.2638 5.5694 Å, 90.00 90.00 90.00°
With the nearest neighbours (Å) after each atom.
Space group P4mm (No. 99)
Asymmetric unit:
La: 0.0000 0.0000 0.0000 x1  2 Cl 2.75-2.82
Se: 0.5000 0.5000 0.1979 x1  2 Cl 2.67-2.90
Cl: 0.0000 0.0000 0.4942 x1  2 La 2.75-2.82
Cl: 0.5000 0.5000 0.7189 x1  2 Se 2.67-2.90